LiTaGa | PBE | relaxed

a = 6.737 Å, b = 6.066 Å, c = 4.529 Å
α = 77.47°, β = 61.52°, γ = 41.01°
Element x y z (fractional)
Li 0.250 0.250 0.250
Li 0.750 0.750 0.750
Ta 0.184 0.816 0.184
Ta 0.816 0.184 0.816
Ga 0.382 0.382 0.618
Ga 0.618 0.618 0.382

Properties
- Crystal system: orthorhombic
- Magnetic moment: 0.00 μB/f.u.
- Formation energy from the elements: 145 meV/atom
- Total DFT energy (no corrections): -5.453 eV/atom
- Density: 8.27 g/cm3
- N(E_F): 1.5 states/eV/f.u.
- Calculated volume: 103.4 Å³/cell



LiB3Mo | PBE | relaxed

a = 4.164 Å, b = 4.164 Å, c = 4.164 Å
α = 90.00°, β = 90.00°, γ = 90.00°
Element x y z (fractional)
Li 0.000 0.000 0.000
B 0.000 0.500 0.500
B 0.500 0.000 0.500
B 0.500 0.500 0.000
Mo 0.500 0.500 0.500

Properties
- Crystal system: cubic
- Magnetic moment: 0.00 μB/f.u.
- Formation energy from the elements: 943 meV/atom
- Total DFT energy (no corrections): -5.613 eV/atom
- Density: 3.11 g/cm3
- N(E_F): 1.5 states/eV/f.u.
- Calculated volume: 72.2 Å³/cell



Ni2PBr | PBE | relaxed

a = 3.665 Å, b = 3.665 Å, c = 5.902 Å
α = 97.01°, β = 97.01°, γ = 59.47°
Element x y z (fractional)
Ni 0.000 0.000 0.000
Ni 0.633 0.633 0.747
P 0.314 0.314 0.860
Br 0.599 0.599 0.345

Properties
- Crystal system: monoclinic
- Magnetic moment: 0.00 μB/f.u.
- Total DFT energy (no corrections): -4.927 eV/atom
- Density: 5.61 g/cm3
- N(E_F): 1.8 states/eV/f.u.
- Calculated volume: 67.6 Å³/cell